(1)
# RbPu2CdTe4 PBE relaxed
# M_tot, μB/f.u.: 11.000
# E_form (uncorrected), eV/atom: -0.900
data_RbPu2CdTe4
_symmetry_space_group_name_H-M 'C m c m'
_symmetry_Int_Tables_number 63
_symmetry_space_group_name_Hall '-C 2c 2'
_cell_length_a 4.5838
_cell_length_b 15.7070
_cell_length_c 16.0411
_cell_angle_alpha 90.00
_cell_angle_beta 90.00
_cell_angle_gamma 90.00
loop_
_atom_site_label
_atom_site_fract_x
_atom_site_fract_y
_atom_site_fract_z
_atom_site_occupancy
Rb1 0.0000 0.1232 0.2500 1
Pu1 0.0000 0.3720 0.0590 1
Cd1 0.0000 0.1582 0.7500 1
Te1 0.0000 0.0000 0.0000 1
Te2 0.0000 0.2610 0.6056 1
Te3 0.0000 0.4474 0.2500 1

(2)
# TaReMo2N PBE relaxed
# M_tot, μB/f.u.: 0.000
# E_form (uncorrected), eV/atom: 1.385
data_TaReMo2N
_symmetry_space_group_name_H-M 'P 4/m m m'
_symmetry_Int_Tables_number 123
_symmetry_space_group_name_Hall '-P 4 2'
_cell_length_a 4.9213
_cell_length_b 4.9213
_cell_length_c 3.7026
_cell_angle_alpha 90.00
_cell_angle_beta 90.00
_cell_angle_gamma 90.00
loop_
_atom_site_label
_atom_site_fract_x
_atom_site_fract_y
_atom_site_fract_z
_atom_site_occupancy
Ta1 0.0000 0.0000 0.0000 1
Re1 0.5000 0.5000 0.5000 1
Mo1 0.0000 0.5000 0.5000 1
N1 0.5000 0.5000 0.0000 1

(3)
# NbVCd PBE relaxed
# DFT formation energy, eV per atom: 0.52
# Energy above the most stable polymorph in this dataset, eV/atom: 0.369
# M_tot, μB/f.u.: 0.000
data_NbVCd
_symmetry_space_group_name_H-M 'P 4/n m m'
_symmetry_Int_Tables_number 129
_cell_length_a 3.2839
_cell_length_b 3.2839
_cell_length_c 10.5180
_cell_angle_alpha 90.00
_cell_angle_beta 90.00
_cell_angle_gamma 90.00
loop_
_symmetry_equiv_pos_as_xyz
'x,y,z'
'-x,-y,-z'
'-y+1/2,x,z'
'y+1/2,-x,-z'
'-x+1/2,-y+1/2,z'
'x+1/2,y+1/2,-z'
'y,-x+1/2,z'
'-y,x+1/2,-z'
'x+1/2,-y,-z'
'-x+1/2,y,z'
'-y,-x,-z'
'y,x,z'
'-x,y+1/2,-z'
'x,-y+1/2,z'
'y+1/2,x+1/2,-z'
'-y+1/2,-x+1/2,z'
loop_
_atom_site_label
_atom_site_fract_x
_atom_site_fract_y
_atom_site_fract_z
_atom_site_occupancy
Nb1 0.2500 0.2500 0.2137 1
V1 0.2500 0.7500 0.0000 1
Cd1 0.2500 0.2500 0.5964 1